The following is a DFT calculation (PBE+U) of a relaxed Tl2FeNiF6 crystal.

- crystal system = tetragonal
- energy (eV/atom) = -4.53
- magnetization (μB per cell) = 12.00

Lattice parameters (Å, degrees): 5.984 5.984 8.268 90.00 90.00 90.00
Space group I4/mmm (No. 139)
One atom of each set of equivalent atoms:
Tl 0.000 0.500 0.250
Fe 0.000 0.000 0.000
Ni 0.000 0.000 0.500
F 0.000 0.000 0.249
F 0.243 0.243 0.500